Material: Mg5H2Ir2
Method: DFT, PBE-GGA
State: relaxed

abc: 4.2807 5.1062 7.3614
angles: 90.98 106.82 114.58
Space group P-1 (No. 2)
Symmetry-distinct sites (fractional):
Mg: 0.0000 0.0000 0.0000 [1 per cell]
Mg: 0.1841 0.5420 0.8268 [2 per cell]
Mg: 0.2641 0.1206 0.4085 [2 per cell]
H: 0.4419 0.5717 0.3180 [2 per cell]
Ir: 0.4708 0.1425 0.8005 [2 per cell]

Results
Spin magnetization ... 0.00 μB/atom
Calculated volume ... 15.37 Å³ per atom
Final energy ... -0.145 Ha/atom